{"formula": "LaHoGa3", "functional": "GGA-PBE", "state": "optimized geometry", "cell": [[4.237, 0.000, 0.000], [0.000, 4.382, 0.000], [0.000, -2.191, 12.910]], "species": ["La", "La", "Ga", "Ga", "Ga", "Ga", "Ga", "Ga", "Ho", "Ho"], "frac_coords": [[0.250, 0.075, 0.150], [0.750, 0.925, 0.850], [0.250, 0.378, 0.756], [0.250, 0.476, 0.951], [0.750, 0.524, 0.049], [0.750, 0.321, 0.642], [0.750, 0.622, 0.244], [0.250, 0.679, 0.358], [0.250, 0.796, 0.592], [0.750, 0.204, 0.408]], "dos_ef_per_ev_atom": 0.604, "formation_enthalpy_0k_ev_per_atom": -0.67, "total_magnetization_mub_per_cell": 0.00, "energy_ev_per_atom": -4.39}